# CeErAlPd

Crystalline CeErAlPd at its relaxed geometry (GGA-PBE, Alexandria).

The calculation puts the uncorrected energy at -5.324 eV per atom. Its volume is 373.4 Å³/cell. As for the energy of formation from the pure elements: -0.466 eV per atom. As for the density of states at the Fermi level: 1.576 states/eV/atom. As for the theoretical density: 7.840 Mg/m³.

The structure belongs to space group F-43m (No. 216); the cell edges are 7.201, 7.201 and 7.201 Å and the angles 90.00°, 90.00° and 90.00°. The distinct sites, in fractional coordinates, are Ce at (0.000, 0.000, 0.000), Er at (0.000, 0.000, 0.500), Al at (0.250, 0.250, 0.750) and Pd at (0.250, 0.250, 0.250).



# CePmErAl

Crystalline CePmErAl at its relaxed geometry (GGA-PBE, Alexandria).

The calculation puts the uncorrected energy at -4.747 eV per atom. Its volume is 433.4 Å³/cell. As for the energy of formation from the pure elements: 0.001 eV per atom. As for the density of states at the Fermi level: 2.211 states/eV/atom. As for the theoretical density: 7.347 Mg/m³.

The structure belongs to space group F-43m (No. 216); the cell edges are 7.567, 7.567 and 7.567 Å and the angles 90.00°, 90.00° and 90.00°. The distinct sites, in fractional coordinates, are Ce at (0.000, 0.000, 0.000), Pm at (0.250, 0.250, 0.250), Er at (0.000, 0.000, 0.500) and Al at (0.250, 0.250, 0.750).



Q: What is the theoretical density in the first record?
A: 7.840 Mg/m³



Q: Among the records above, which one has the lowest theoretical density?
A: CePmErAl